## InBiPbO6 (GGA-PBE)

Data for crystalline InBiPbO6 at its relaxed geometry.

abc: 5.0220 5.0220 10.2005
angles: 90.00 90.00 90.00
Positions (direct):
In 0.0000 0.0000 0.0000
In 0.5000 0.5000 0.5000
Bi 0.0000 0.0000 0.6664
Bi 0.5000 0.5000 0.1664
Pb 0.0000 0.0000 0.3328
Pb 0.5000 0.5000 0.8328
O 0.1900 0.1900 0.8307
O 0.1926 0.1926 0.5032
O 0.1960 0.1960 0.1654
O 0.3040 0.6960 0.6654
O 0.3074 0.6926 0.0032
O 0.3100 0.6900 0.3307
O 0.6900 0.3100 0.3307
O 0.6926 0.3074 0.0032
O 0.6960 0.3040 0.6654
O 0.8040 0.8040 0.1654
O 0.8074 0.8074 0.5032
O 0.8100 0.8100 0.8307

Properties
- crystal system = tetragonal
- ΔE_f (raw) (eV/atom) = -1.027
- space-group type = P4_2nm
- DOS(E_F) (states/eV per cell) = 2.2
- V (Å³/f.u.) = 128.6
- DFT total energy (eV per cell) = -98.64

## CdAgSb2 (GGA-PBE)

Data for crystalline CdAgSb2 at its relaxed geometry.

abc: 9.3012 9.3012 9.3012
angles: 22.05 22.05 22.05
Positions (direct):
Cd 0.0000 0.0000 0.0000
Ag 0.5000 0.5000 0.5000
Sb 0.2463 0.2463 0.2463
Sb 0.7537 0.7537 0.7537

Properties
- crystal system = trigonal
- ΔE_f (raw) (eV/atom) = 0.139
- space-group type = R-3m
- E above lowest polymorph (kJ/mol of formula units) = 23
- DOS(E_F) (states/eV per cell) = 1.0
- V (Å³/f.u.) = 99.4
- DFT total energy (eV per cell) = -11.45

Please write out number 1 again, unchanged.
## InBiPbO6 (GGA-PBE)

Data for crystalline InBiPbO6 at its relaxed geometry.

abc: 5.0220 5.0220 10.2005
angles: 90.00 90.00 90.00
Positions (direct):
In 0.0000 0.0000 0.0000
In 0.5000 0.5000 0.5000
Bi 0.0000 0.0000 0.6664
Bi 0.5000 0.5000 0.1664
Pb 0.0000 0.0000 0.3328
Pb 0.5000 0.5000 0.8328
O 0.1900 0.1900 0.8307
O 0.1926 0.1926 0.5032
O 0.1960 0.1960 0.1654
O 0.3040 0.6960 0.6654
O 0.3074 0.6926 0.0032
O 0.3100 0.6900 0.3307
O 0.6900 0.3100 0.3307
O 0.6926 0.3074 0.0032
O 0.6960 0.3040 0.6654
O 0.8040 0.8040 0.1654
O 0.8074 0.8074 0.5032
O 0.8100 0.8100 0.8307

Properties
- crystal system = tetragonal
- ΔE_f (raw) (eV/atom) = -1.027
- space-group type = P4_2nm
- DOS(E_F) (states/eV per cell) = 2.2
- V (Å³/f.u.) = 128.6
- DFT total energy (eV per cell) = -98.64

Number 1 is which compound?
InBiPbO6

Which value of ΔE_f (raw) does entry 2 give?
0.139 eV/atom